MnAlIrO6: optimized geometry, PBE+U.

Cell: 4.973 4.973 8.785 Å, 90.00 90.00 120.00°
Last column: magnetic moment on the atom in μB.
Element x y z (fractional)
Mn  0.000  0.000  0.000  4.12
Mn  0.000  0.000  0.500  4.12
Al  0.333  0.667  0.250  -0.01
Al  0.667  0.333  0.750  -0.01
Ir  0.667  0.333  0.250  -0.67
Ir  0.333  0.667  0.750  -0.67
O  0.648  0.654  0.132  -0.10
O  0.006  0.352  0.132  -0.10
O  0.352  0.006  0.632  -0.10
O  0.994  0.648  0.868  -0.10
O  0.346  0.352  0.368  -0.10
O  0.006  0.654  0.368  -0.10
O  0.654  0.006  0.868  -0.10
O  0.648  0.994  0.368  -0.10
O  0.994  0.346  0.632  -0.10
O  0.346  0.994  0.132  -0.10
O  0.654  0.648  0.632  -0.10
O  0.352  0.346  0.868  -0.10

## Properties
Space group   No. 163
V   188.2 Å³/cell
Spin magnetization   2.817 μB per formula unit
E   -126.0 eV for the cell shown